Here is a geometry-optimized Zr5Tl4Cd structure from Alexandria via LeMat-Bulk. Energies are from PBE-GGA.

Values from the calculation:
As for the space-group type: P4/mmm (123). Its energy relative to the elements is -0.078 eV/atom. The total DFT energy (no corrections) is -5.39 eV per atom.

```
data_Zr5Tl4Cd
_space_group_name_H-M_alt 'P 1'
_space_group_IT_number 1
_cell_length_a 3.203
_cell_length_b 3.203
_cell_length_c 22.093
_cell_angle_alpha 90.00
_cell_angle_beta 90.00
_cell_angle_gamma 90.00
loop_
_space_group_symop_operation_xyz
'x,y,z'
loop_
_atom_site_label
_atom_site_type_symbol
_atom_site_fract_x
_atom_site_fract_y
_atom_site_fract_z
_atom_site_occupancy
Zr1 Zr 0.000 0.000 0.000 1
Zr2 Zr 0.000 0.000 0.202 1
Zr3 Zr 0.000 0.000 0.402 1
Zr4 Zr 0.000 0.000 0.598 1
Zr5 Zr 0.000 0.000 0.798 1
Tl1 Tl 0.500 0.500 0.101 1
Tl2 Tl 0.500 0.500 0.302 1
Tl3 Tl 0.500 0.500 0.698 1
Tl4 Tl 0.500 0.500 0.899 1
Cd1 Cd 0.500 0.500 0.500 1
```